Record 1
Entry from Alexandria via LeMat-Bulk: crystalline La4TlIrI2 at its relaxed geometry (GGA-PBE).

POSCAR file:
```
La4TlIrI2
1.0
4.358 0.000 0.000
0.000 7.966 0.197
0.000 -2.744 8.056
I La Ir Tl
2 4 1 1
Cartesian
0.000 2.611 4.126
2.179 -1.372 4.028
0.000 5.167 1.706
0.000 0.056 6.547
2.179 1.676 1.664
2.179 3.547 6.588
2.179 3.983 0.099
0.000 0.000 0.000
```

Calculated values
Mass density in g/cm3: 7.10
Symmetry: P2/m (10)
Volume in Å³/cell: 282
Total magnetic moment in μB/f.u.: 0.00
Formation energy (no corrections) in eV/atom: -0.872



Record 2
Entry from Alexandria via LeMat-Bulk: crystalline LaTl2IrI at its relaxed geometry (GGA-PBE).

POSCAR file:
```
LaTl2IrI
1.0
5.347 0.000 0.000
0.000 5.347 0.000
0.000 0.000 5.500
Tl Ir I La
2 1 1 1
Cartesian
0.000 2.674 0.000
2.674 0.000 0.000
0.000 0.000 0.000
2.674 2.674 2.750
0.000 0.000 2.750
```

Calculated values
Mass density in g/cm3: 9.15
Symmetry: P4/mmm (123)
Volume in Å³/cell: 157
Total magnetic moment in μB/f.u.: 0.00
Formation energy (no corrections) in eV/atom: -0.519